Entry from the Alexandria database: crystalline Mg2PdPt at its relaxed geometry (GGA-PBEsol).

a b c (Å): 6.2708 6.2708 6.2708
angles (deg): 90.00 90.00 90.00
Last column: nearest neighbours and their distance in Å.
Space group Fm-3m (No. 225)
Asymmetric unit:
Mg 0.2500 0.2500 0.2500  4 Pd 2.72, 4 Pt 2.72
Pd 0.0000 0.0000 0.0000  8 Mg 2.72
Pt 0.0000 0.0000 0.5000  8 Mg 2.72

Output
size of the total moment: 0.0 μB per cell
E_form: -3.04 eV/f.u.
calculated volume: 246.6 Å³/cell